LaHfTiIr2 | GGA-PBE | optimized geometry

Results
Calculated volume, Å³/cell: 107.3
Energy relative to the elements, eV/f.u.: -4.0

Cell: 4.407 4.407 6.341 Å, 110.34 110.34 90.00°
Fractional positions:
1 Ir 0.621 0.621 0.242
2 Ir 0.379 0.379 0.758
3 Hf 0.750 0.250 0.500
4 Ti 0.250 0.750 0.500
5 La 0.000 0.000 0.000